i) Compound: Zr3Be4
Source: Alexandria
Functional: PBE
Structure: optimized geometry

Summary:
- Crystal system: hexagonal

a = 5.861 Å, b = 5.861 Å, c = 4.115 Å
α = 90.00°, β = 90.00°, γ = 120.00°
Fractional coordinates of all 7 atoms:
Zr 0.000 0.500 0.000
Zr 0.500 0.000 0.000
Zr 0.500 0.500 0.000
Be 0.000 0.000 0.239
Be 0.000 0.000 0.761
Be 0.333 0.667 0.500
Be 0.667 0.333 0.500

=====

ii) Compound: Zr3Be4
Source: Alexandria
Functional: PBE
Structure: optimized geometry

Summary:
- Crystal system: tetragonal

a = 12.610 Å, b = 12.610 Å, c = 12.610 Å
α = 166.94°, β = 166.94°, γ = 18.50°
Fractional coordinates of all 7 atoms:
Zr 0.000 0.000 0.000
Zr 0.304 0.304 0.000
Zr 0.696 0.696 0.000
Be 0.117 0.117 0.000
Be 0.422 0.422 0.000
Be 0.578 0.578 0.000
Be 0.883 0.883 0.000

=====

Which of them is the most stable? Correct choice: ii).